(1)
This record from the Alexandria database describes KMnHgF6 after structural relaxation. The functional is GGA+U.

a = 5.8455 Å, b = 5.8455 Å, c = 10.4533 Å
α = 90.00°, β = 90.00°, γ = 120.00°
Space group P-31c (No. 163)
Symmetry-distinct sites (fractional):
K 0.0000 0.0000 0.0000 (multiplicity 2)
Mn 0.3333 0.6667 0.2500 (multiplicity 2)
Hg 0.3333 0.6667 0.7500 (multiplicity 2)
F 0.0545 0.4012 0.1472 (multiplicity 12)

Values from the calculation:
The calculation puts the calculated total energy at -77.84 eV for the cell shown.

(2)
This record from the Alexandria database describes K3Mn2HgF9 after structural relaxation. The functional is GGA+U.

a = 6.1399 Å, b = 6.1399 Å, c = 7.6518 Å
α = 90.00°, β = 90.00°, γ = 120.00°
Space group P-3m1 (No. 164)
Symmetry-distinct sites (fractional):
K 0.0000 0.0000 0.0000 (multiplicity 1)
K 0.3333 0.6667 0.6716 (multiplicity 2)
Mn 0.3333 0.6667 0.1550 (multiplicity 2)
Hg 0.0000 0.0000 0.5000 (multiplicity 1)
F 0.0000 0.5000 0.0000 (multiplicity 3)
F 0.1732 0.3464 0.3174 (multiplicity 6)

Values from the calculation:
The calculation puts the calculated total energy at -72.89 eV for the cell shown.

(3)
This record from the Alexandria database describes KMn2HgF8 after structural relaxation. The functional is GGA+U.

a = 5.303 Å, b = 5.306 Å, c = 6.801 Å
α = 88.71°, β = 88.67°, γ = 87.94°
Space group P-1 (No. 2)
Symmetry-distinct sites (fractional):
K 0.000 0.000 0.000 (multiplicity 1)
Mn 0.498 0.498 0.251 (multiplicity 2)
Hg 0.000 0.000 0.500 (multiplicity 1)
F 0.233 0.765 0.726 (multiplicity 2)
F 0.239 0.771 0.274 (multiplicity 2)
F 0.320 0.323 0.486 (multiplicity 2)
F 0.334 0.338 0.987 (multiplicity 2)

Values from the calculation:
The calculation puts the calculated total energy at -58.73 eV for the cell shown.

(4)
This record from the Alexandria database describes KHgMoF2 after structural relaxation. The functional is GGA+U.

a = 4.405 Å, b = 4.405 Å, c = 7.604 Å
α = 90.00°, β = 90.00°, γ = 90.00°
Space group P4/mmm (No. 123)
Symmetry-distinct sites (fractional):
K 0.000 0.000 0.000 (multiplicity 1)
Hg 0.500 0.500 0.000 (multiplicity 1)
Mo 0.000 0.000 0.500 (multiplicity 1)
F 0.000 0.500 0.500 (multiplicity 2)

Values from the calculation:
The calculation puts the calculated total energy at -17.52 eV for the cell shown.

(5)
This record from the Alexandria database describes KHg2MoF6 after structural relaxation. The functional is GGA+U.

a = 6.6742 Å, b = 6.6742 Å, c = 37.6315 Å
α = 90.00°, β = 90.00°, γ = 120.00°
Space group R-3m (No. 166, hexagonal axes)
Symmetry-distinct sites (fractional):
K 0.0000 0.0000 0.0975 (multiplicity 6)
Hg 0.0000 0.0000 0.2401 (multiplicity 6)
Hg 0.0000 0.0000 0.3860 (multiplicity 6)
Mo 0.0000 0.0000 0.0000 (multiplicity 3)
Mo 0.0000 0.0000 0.5000 (multiplicity 3)
F 0.0547 0.5274 0.1950 (multiplicity 18)
F 0.0617 0.5309 0.6369 (multiplicity 18)

Values from the calculation:
The calculation puts the calculated total energy at -242.03 eV for the cell shown.

- Which value of calculated total energy does entry 4 give?
  -17.52 eV for the cell shown

- The lowest calculated total energy belongs to which entry?
  KHg2MoF6